First-principles (PBE) data for a geometry-optimized Tl2RuCl structure, as listed in the Alexandria database.

a b c (Å): 3.2667 5.8004 10.1152
angles (deg): 90.00 90.00 90.00
Closest atoms and distances in Å follow each position.
Space group Cmm2 (No. 35)
One atom of each set of equivalent atoms:
Tl (0.0000, 0.0000, 0.0000) x2  8 Tl 3.27-3.39, 2 Cl 3.55
Tl (0.0000, 0.5000, 0.2940) x2  2 Ru 2.83
Ru (0.0000, 0.0000, 0.5228) x2  2 Cl 2.34
Cl (0.0000, 0.5000, 0.6888) x2  2 Ru 2.34

Output
polymorph energy (0 for the lowest one): 155 meV/atom
energy: -29.2 eV/cell
magnetic moment: 1.4 Bohr magnetons per cell
energy relative to the elements, uncorrected: 317 meV per atom